Entry 1:
Na6InSn2: optimized geometry, PBE.

Cell: 5.512 5.512 10.845 Å, 75.28 75.28 60.00°
Element x y z (fractional)
Sn (0.909, 0.909, 0.273)
Na (0.580, 0.580, 0.259)
Na (0.297, 0.297, 0.108)
Na (0.703, 0.703, 0.892)
Na (0.806, 0.806, 0.581)
Na (0.194, 0.194, 0.419)
Sn (0.091, 0.091, 0.727)
In (0.000, 0.000, 0.000)
Na (0.420, 0.420, 0.741)

Values from the calculation:
Magnetic moment: 0.00 μB per formula unit
Calculated formation energy: -0.151 eV/atom
DFT total energy: -2.224 eV/atom
V: 273 Å³/cell



Entry 2:
Cs2Ag2Br5: optimized geometry, PBE.

Cell: 5.370 5.370 11.546 Å, 90.00 90.00 90.00°
Element x y z (fractional)
Br (0.537, 0.037, 0.221)
Ag (0.537, 0.537, 0.745)
Cs (0.037, 0.037, 0.500)
Br (0.537, 0.537, 0.500)
Br (0.537, 0.037, 0.779)
Ag (0.537, 0.537, 0.255)
Br (0.037, 0.537, 0.221)
Cs (0.037, 0.037, 0.000)
Br (0.037, 0.537, 0.779)

Values from the calculation:
Magnetic moment: 0.00 μB per formula unit
DFT total energy: -2.734 eV/atom
ΔE to the lowest computed polymorph: 0.0 meV per atom
Formation energy from raw total energies: -0.982 eV per atom
V: 333 Å³/cell